No. 1
Here is a relaxed MgBeGaGe2 crystal from Alexandria via LeMat-Bulk. Energies are from GGA-PBE.

The structure belongs to space group P4/mmm (No. 123); the cell edges are 5.022, 5.022 and 4.631 Å and the angles 90.00°, 90.00° and 90.00°. Symmetry generates all atoms from Mg at (0.000, 0.000, 0.000), Be at (0.000, 0.000, 0.500), Ga at (0.500, 0.500, 0.500) and Ge at (0.000, 0.500, 0.000).

For the calculated formation energy, the calculation gives 4.71 eV per formula unit. Its total energy is -2.575 eV per atom. As for the density of states at the Fermi level: 0.388 states/eV per atom.

No. 2
Here is a relaxed BeGa2GeO6 crystal from Alexandria via LeMat-Bulk. Energies are from GGA-PBE.

The structure belongs to space group R3 (No. 146, hexagonal axes); the cell edges are 4.8970, 4.8970 and 13.9205 Å and the angles 90.00°, 90.00° and 120.00°. Symmetry generates all atoms from Be at (0.0000, 0.0000, 0.0000), Ga at (0.0000, 0.0000, 0.2351), Ga at (0.0000, 0.0000, 0.7460), Ge at (0.0000, 0.0000, 0.4399), O at (0.0161, 0.3394, 0.5002) and O at (0.0341, 0.6883, 0.0087).

Its total energy is -6.273 eV per atom. As for the density of states at the Fermi level: 0.000 states/eV per atom. The value obtained for the uncorrected formation energy is -1.858 eV/atom.

No. 3
Here is a relaxed Be2GaGeO6 crystal from Alexandria via LeMat-Bulk. Energies are from GGA-PBE.

The structure belongs to space group C2/c (No. 15); the cell edges are 9.655, 8.375 and 5.280 Å and the angles 90.00°, 114.78° and 90.00°. Symmetry generates all atoms from Be at (0.195, 0.077, 0.162), Ga at (0.000, 0.401, 0.250), Ge at (0.000, 0.239, 0.750), O at (0.108, 0.244, 0.137), O at (0.118, 0.412, 0.680) and O at (0.139, 0.061, 0.813).

Its total energy is -6.387 eV per atom. As for the density of states at the Fermi level: 0.062 states/eV per atom. The value obtained for the uncorrected formation energy is -1.902 eV/atom.

Number 1: magnetic moment 0.0 μB per cell. Number 2: magnetic moment 0.0 μB per cell. Number 3: magnetic moment 4.1 μB per cell.